# 1
This record from Alexandria via LeMat-Bulk describes a relaxed structure of LiLa2Cd. The functional is PBE-GGA.

POSCAR file:
```
LiLa2Cd
1.0
-3.540 0.291 0.297
-2.064 -0.335 -2.886
-2.616 -10.949 0.941
La Li Cd
2 1 1
direct
0.085 0.085 0.745
0.248 0.248 0.256
0.667 0.667 0.000
0.500 0.500 0.500
```

Properties
The formation energy comes out at 0.0142 eV per atom.

# 2
This record from Alexandria via LeMat-Bulk describes a relaxed structure of LiLa6Cd. The functional is PBE-GGA.

POSCAR file:
```
LiLa6Cd
1.0
6.286 1.431 -1.856
4.540 7.721 -0.951
1.609 2.878 5.704
La Li Cd
6 1 1
direct
0.822 0.939 0.634
0.834 0.731 0.270
0.166 0.269 0.730
0.178 0.061 0.366
0.395 0.366 0.060
0.605 0.634 0.940
0.000 0.000 0.000
0.500 0.500 0.500
```

Properties
The formation energy comes out at -0.0178 eV per atom.

# 3
This record from Alexandria via LeMat-Bulk describes a relaxed structure of LiLa3Cd3. The functional is PBE-GGA.

POSCAR file:
```
LiLa3Cd3
1.0
5.004 0.000 -1.092
-0.175 3.444 -0.800
-0.151 0.804 11.325
Li La Cd
1 3 3
direct
0.432 0.432 0.865
0.302 0.802 0.604
0.001 0.001 0.003
0.698 0.198 0.395
0.864 0.364 0.728
0.563 0.563 0.126
0.140 0.640 0.280
```

Properties
The formation energy comes out at -0.2480 eV per atom.

# 4
This record from Alexandria via LeMat-Bulk describes a relaxed structure of LiLa2Cd5. The functional is PBE-GGA.

POSCAR file:
```
LiLa2Cd5
1.0
4.787 0.000 0.000
-2.394 8.854 0.000
0.000 0.000 10.015
La Cd Li
4 10 2
direct
0.000 0.000 0.000
0.803 0.606 0.750
0.197 0.394 0.250
0.000 0.000 0.500
0.192 0.383 0.897
0.808 0.617 0.103
0.361 0.721 0.967
0.403 0.805 0.250
0.808 0.617 0.397
0.639 0.279 0.467
0.192 0.383 0.603
0.639 0.279 0.033
0.597 0.195 0.750
0.361 0.721 0.533
0.551 0.103 0.250
0.449 0.897 0.750
```

Properties
The formation energy comes out at -0.2330 eV per atom.

# 5
This record from Alexandria via LeMat-Bulk describes a relaxed structure of Li2LaCd. The functional is PBE-GGA.

POSCAR file:
```
Li2LaCd
1.0
-0.886 -3.081 4.201
0.467 -2.745 -1.915
5.705 -0.238 1.029
Li Cd La
2 1 1
direct
0.000 0.103 0.031
0.000 0.397 0.469
0.500 0.250 0.250
0.500 0.750 0.750
```

Properties
The formation energy comes out at -0.0483 eV per atom.

# 6
This record from Alexandria via LeMat-Bulk describes a relaxed structure of LiLa12Cd3. The functional is PBE-GGA.

POSCAR file:
```
LiLa12Cd3
1.0
-2.846 -2.581 3.315
-2.549 -2.123 -3.841
13.397 -15.318 -0.425
La Cd Li
12 3 1
direct
0.000 0.500 0.376
0.000 0.500 0.873
0.500 0.500 0.500
0.500 0.500 0.000
0.500 0.000 0.376
0.500 0.500 0.250
0.000 0.500 0.624
0.500 0.000 0.873
0.500 0.000 0.127
0.000 0.500 0.127
0.500 0.000 0.624
0.500 0.500 0.750
0.000 0.000 0.251
0.000 0.000 0.500
0.000 0.000 0.749
0.000 0.000 0.000
```

Properties
The formation energy comes out at -0.0644 eV per atom.

# 7
This record from Alexandria via LeMat-Bulk describes a relaxed structure of LiLa2Cd. The functional is PBE-GGA.

POSCAR file:
```
LiLa2Cd
1.0
-4.257 -2.643 1.870
0.453 -3.050 4.370
-2.299 1.531 4.580
Cd La Li
1 2 1
direct
0.500 0.500 0.500
0.000 0.000 0.000
0.250 0.250 0.250
0.750 0.750 0.750
```

Properties
The formation energy comes out at -0.0149 eV per atom.

# 8
This record from Alexandria via LeMat-Bulk describes a relaxed structure of Li3La3Cd8. The functional is PBE-GGA.

POSCAR file:
```
Li3La3Cd8
1.0
0.685 -2.835 4.138
8.776 -2.438 -0.026
5.911 4.543 5.232
Cd La Li
8 3 3
direct
0.852 0.494 0.802
0.148 0.198 0.506
0.363 0.951 0.323
0.363 0.323 0.951
0.637 0.049 0.677
0.637 0.677 0.049
0.148 0.506 0.198
0.852 0.802 0.494
0.770 0.230 0.230
0.500 0.500 0.500
0.230 0.770 0.770
0.000 0.165 0.835
0.000 0.835 0.165
0.500 0.000 0.000
```

Properties
The formation energy comes out at -0.2950 eV per atom.

# 9
This record from Alexandria via LeMat-Bulk describes a relaxed structure of Li2LaCd9. The functional is PBE-GGA.

POSCAR file:
```
Li2LaCd9
1.0
6.836 0.000 3.147
3.418 8.362 1.574
-0.079 0.000 9.169
Cd Li La
18 4 2
direct
0.606 0.321 0.080
0.606 0.080 0.321
0.677 0.580 0.179
0.073 0.321 0.920
0.007 0.920 0.679
0.315 0.679 0.080
0.144 0.420 0.179
0.677 0.179 0.580
0.073 0.920 0.321
0.750 0.500 0.500
0.743 0.580 0.821
0.000 0.000 0.000
0.435 0.821 0.420
0.315 0.080 0.679
0.007 0.679 0.920
0.435 0.420 0.821
0.743 0.821 0.580
0.144 0.179 0.420
0.875 0.250 0.750
0.875 0.750 0.250
0.375 0.750 0.750
0.875 0.250 0.250
0.250 0.500 0.500
0.500 0.000 0.000
```

Properties
The formation energy comes out at -0.2438 eV per atom.

# 10
This record from Alexandria via LeMat-Bulk describes a relaxed structure of LiLa5Cd4. The functional is PBE-GGA.

POSCAR file:
```
LiLa5Cd4
1.0
-1.059 -3.346 1.819
1.169 -2.082 -3.150
17.832 -1.503 7.613
La Cd Li
5 4 1
direct
0.500 0.500 0.500
0.500 0.500 0.100
0.500 0.500 0.299
0.500 0.500 0.900
0.500 0.500 0.701
0.000 0.000 0.399
0.000 0.000 0.197
0.000 0.000 0.803
0.000 0.000 0.601
0.000 0.000 0.000
```

Properties
The formation energy comes out at -0.2455 eV per atom.

# 11
This record from Alexandria via LeMat-Bulk describes a relaxed structure of LiLa2Cd. The functional is PBE-GGA.

POSCAR file:
```
LiLa2Cd
1.0
-8.124 1.326 -7.579
-6.861 -1.895 -8.634
-9.307 -1.694 -5.977
La Li Cd
2 1 1
direct
0.497 0.497 0.497
0.003 0.003 0.003
0.250 0.250 0.250
0.750 0.750 0.750
```

Properties
The formation energy comes out at 0.0067 eV per atom.

# 12
This record from Alexandria via LeMat-Bulk describes a relaxed structure of LiLaLuCd. The functional is PBE-GGA.

POSCAR file:
```
LiLaLuCd
1.0
-2.246 -3.765 3.086
2.356 -1.462 4.588
-2.208 1.348 4.695
Lu La Cd Li
1 1 1 1
direct
0.500 0.500 0.500
0.000 0.000 0.000
0.750 0.750 0.750
0.250 0.250 0.250
```

Properties
The formation energy comes out at -0.1036 eV per atom.

| no. | electronic total energy (eV per cell) |
| --- | --- |
| 1 | -12.6 |
| 2 | -32.5 |
| 3 | -21.2 |
| 4 | -36.4 |
| 5 | -9.9 |
| 6 | -64.8 |
| 7 | -12.7 |
| 8 | -32.0 |
| 9 | -39.8 |
| 10 | -32.7 |
| 11 | -12.7 |
| 12 | -12.7 |